# 1
Entry from Alexandria: a relaxed LaReF crystal (PBE-GGA).

E above lowest polymorph: 239 meV/atom
Magnetic moment: 0.00 μB/cell
Energy relative to the elements, uncorrected: -1.303 eV per atom

Geometry as CIF:
```
data_LaReF
_chemical_formula_sum 'La4 Re4 F4'
_cell_length_a 10.915
_cell_length_b 4.106
_cell_length_c 6.841
_cell_angle_alpha 90.00
_cell_angle_beta 122.99
_cell_angle_gamma 90.00
_space_group_name_H-M_alt 'C 1 m 1'
_space_group_IT_number 8
_space_group_name_Hall 'C -2y'
loop_
_atom_site_label
_atom_site_type_symbol
_atom_site_fract_x
_atom_site_fract_y
_atom_site_fract_z
_atom_site_occupancy
La1 La 0.000 0.000 0.000 1
La2 La 0.063 0.500 0.553 1
Re1 Re 0.254 0.500 0.147 1
Re2 Re 0.308 0.000 0.034 1
F1 F 0.133 0.000 0.439 1
F2 F 0.404 0.500 0.560 1
```

---

# 2
Entry from Alexandria: a relaxed LaTaRe2F crystal (PBE-GGA).

Magnetic moment: 1.22 μB/cell
Energy relative to the elements, uncorrected: 1.172 eV per atom

Geometry as CIF:
```
data_LaTaRe2F
_chemical_formula_sum 'La1 Ta1 Re2 F1'
_cell_length_a 4.681
_cell_length_b 4.681
_cell_length_c 6.243
_cell_angle_alpha 90.00
_cell_angle_beta 90.00
_cell_angle_gamma 90.00
_space_group_name_H-M_alt 'P 4/m m m'
_space_group_IT_number 123
_space_group_name_Hall '-P 4 2'
loop_
_atom_site_label
_atom_site_type_symbol
_atom_site_fract_x
_atom_site_fract_y
_atom_site_fract_z
_atom_site_occupancy
La1 La 0.000 0.000 0.000 1
Ta1 Ta 0.000 0.000 0.500 1
Re1 Re 0.000 0.500 0.500 1
F1 F 0.500 0.500 0.000 1
```

---

# 3
Entry from Alexandria: a relaxed LaRhF2 crystal (PBE-GGA).

E above lowest polymorph: 213 meV/atom
Magnetic moment: 0.03 μB/cell
Energy relative to the elements, uncorrected: -1.832 eV per atom

Geometry as CIF:
```
data_LaRhF2
_chemical_formula_sum 'La4 Rh4 F8'
_cell_length_a 6.215
_cell_length_b 6.215
_cell_length_c 6.215
_cell_angle_alpha 90.00
_cell_angle_beta 90.00
_cell_angle_gamma 90.00
_space_group_name_H-M_alt 'F m -3 m'
_space_group_IT_number 225
_space_group_name_Hall '-F 4 2 3'
loop_
_atom_site_label
_atom_site_type_symbol
_atom_site_fract_x
_atom_site_fract_y
_atom_site_fract_z
_atom_site_occupancy
La1 La 0.000 0.000 0.000 1
Rh1 Rh 0.000 0.000 0.500 1
F1 F 0.250 0.250 0.250 1
```

---

# 4
Entry from Alexandria: a relaxed LaRhF2 crystal (PBE-GGA).

E above lowest polymorph: 476 meV/atom
Magnetic moment: 0.00 μB/cell
Energy relative to the elements, uncorrected: -1.570 eV per atom

Geometry as CIF:
```
data_LaRhF2
_chemical_formula_sum 'La3 Rh3 F6'
_cell_length_a 3.2349
_cell_length_b 3.2349
_cell_length_c 22.8737
_cell_angle_alpha 90.00
_cell_angle_beta 90.00
_cell_angle_gamma 120.00
_space_group_name_H-M_alt 'R -3 m'
_space_group_IT_number 166
_space_group_name_Hall '-R 3 2"'
loop_
_atom_site_label
_atom_site_type_symbol
_atom_site_fract_x
_atom_site_fract_y
_atom_site_fract_z
_atom_site_occupancy
La1 La 0.0000 0.0000 0.0000 1
Rh1 Rh 0.0000 0.0000 0.5000 1
F1 F 0.0000 0.0000 0.4074 1
```

---

# 5
Entry from Alexandria: a relaxed La2RhF crystal (PBE-GGA).

E above lowest polymorph: 106 meV/atom
Magnetic moment: 0.00 μB/cell
Energy relative to the elements, uncorrected: -1.631 eV per atom

Geometry as CIF:
```
data_La2RhF
_chemical_formula_sum 'La6 Rh3 F3'
_cell_length_a 4.0993
_cell_length_b 4.0993
_cell_length_c 24.1369
_cell_angle_alpha 90.00
_cell_angle_beta 90.00
_cell_angle_gamma 120.00
_space_group_name_H-M_alt 'R 3 m'
_space_group_IT_number 160
_space_group_name_Hall 'R 3 -2"'
loop_
_atom_site_label
_atom_site_type_symbol
_atom_site_fract_x
_atom_site_fract_y
_atom_site_fract_z
_atom_site_occupancy
La1 La 0.0000 0.0000 0.0000 1
La2 La 0.0000 0.0000 0.1977 1
Rh1 Rh 0.0000 0.0000 0.6062 1
F1 F 0.0000 0.0000 0.8217 1
```

---

# 6
Entry from Alexandria: a relaxed La2RhF crystal (PBE-GGA).

E above lowest polymorph: 383 meV/atom
Magnetic moment: 0.00 μB/cell
Energy relative to the elements, uncorrected: -1.354 eV per atom

Geometry as CIF:
```
data_La2RhF
_chemical_formula_sum 'La8 Rh4 F4'
_cell_length_a 7.048
_cell_length_b 7.048
_cell_length_c 7.048
_cell_angle_alpha 90.00
_cell_angle_beta 90.00
_cell_angle_gamma 90.00
_space_group_name_H-M_alt 'F m -3 m'
_space_group_IT_number 225
_space_group_name_Hall '-F 4 2 3'
loop_
_atom_site_label
_atom_site_type_symbol
_atom_site_fract_x
_atom_site_fract_y
_atom_site_fract_z
_atom_site_occupancy
La1 La 0.250 0.250 0.250 1
Rh1 Rh 0.000 0.000 0.000 1
F1 F 0.000 0.000 0.500 1
```

---

# 7
Entry from Alexandria: a relaxed LaRhF2 crystal (PBE-GGA).

E above lowest polymorph: 0 meV/atom
Magnetic moment: 0.00 μB/cell
Energy relative to the elements, uncorrected: -2.046 eV per atom

Geometry as CIF:
```
data_LaRhF2
_chemical_formula_sum 'La4 Rh4 F8'
_cell_length_a 4.072
_cell_length_b 4.072
_cell_length_c 16.207
_cell_angle_alpha 90.00
_cell_angle_beta 90.00
_cell_angle_gamma 90.00
_space_group_name_H-M_alt 'I -4 2 d'
_space_group_IT_number 122
_space_group_name_Hall 'I -4 2bw'
loop_
_atom_site_label
_atom_site_type_symbol
_atom_site_fract_x
_atom_site_fract_y
_atom_site_fract_z
_atom_site_occupancy
La1 La 0.000 0.000 0.000 1
Rh1 Rh 0.000 0.000 0.500 1
F1 F 0.249 0.250 0.125 1
```

---

# 8
Entry from Alexandria: a relaxed LaRh3F crystal (PBE-GGA).

E above lowest polymorph: 0 meV/atom
Magnetic moment: 2.54 μB/cell
Energy relative to the elements, uncorrected: -0.084 eV per atom

Geometry as CIF:
```
data_LaRh3F
_chemical_formula_sum 'La1 Rh3 F1'
_cell_length_a 4.464
_cell_length_b 4.464
_cell_length_c 4.464
_cell_angle_alpha 90.00
_cell_angle_beta 90.00
_cell_angle_gamma 90.00
_space_group_name_H-M_alt 'P m -3 m'
_space_group_IT_number 221
_space_group_name_Hall '-P 4 2 3'
loop_
_atom_site_label
_atom_site_type_symbol
_atom_site_fract_x
_atom_site_fract_y
_atom_site_fract_z
_atom_site_occupancy
La1 La 0.000 0.000 0.000 1
Rh1 Rh 0.000 0.500 0.500 1
F1 F 0.500 0.500 0.500 1
```

---

| no. | final energy (eV per atom) |
| --- | --- |
| 1 | -7.7182 |
| 2 | -7.5380 |
| 3 | -5.8378 |
| 4 | -5.5757 |
| 5 | -6.4007 |
| 6 | -6.1239 |
| 7 | -6.0513 |
| 8 | -5.8545 |